Record 1
Material: Y3SnBi
Method: DFT, PBE
State: relaxed

The value obtained for the formation energy is -2.8 eV per formula unit. For the polymorph energy (0 for the lowest one), the calculation gives 0.000 eV per atom.

abc: 8.686 4.327 8.895
angles: 90.00 92.13 90.00
Positions (direct):
Y1 0.013 0.250 0.151
Y2 0.352 0.750 0.602
Y3 0.355 0.750 0.125
Y4 0.645 0.250 0.875
Y5 0.648 0.250 0.398
Y6 0.987 0.750 0.849
Sn1 0.296 0.250 0.362
Sn2 0.704 0.750 0.638
Bi1 0.263 0.250 0.862
Bi2 0.737 0.750 0.138

Record 2
Material: Y2SnBi2
Method: DFT, PBE
State: relaxed

The value obtained for the formation energy is -2.7 eV per formula unit. For the polymorph energy (0 for the lowest one), the calculation gives 0.000 eV per atom.

abc: 8.331 8.331 4.325
angles: 90.00 90.00 90.00
Positions (direct):
Y1 0.154 0.346 0.000
Y2 0.346 0.846 0.000
Y3 0.654 0.154 0.000
Y4 0.846 0.654 0.000
Sn1 0.000 0.000 0.000
Sn2 0.500 0.500 0.000
Bi1 0.157 0.657 0.500
Bi2 0.343 0.157 0.500
Bi3 0.657 0.843 0.500
Bi4 0.843 0.343 0.500

Record 3
Material: Y6Sn3Bi
Method: DFT, PBE
State: relaxed

The value obtained for the formation energy is -5.4 eV per formula unit.

abc: 9.330 9.330 7.650
angles: 90.00 90.00 108.67
Positions (direct):
Y1 0.015 0.985 0.500
Y2 0.088 0.523 0.004
Y3 0.259 0.349 0.626
Y4 0.268 0.732 0.612
Y5 0.349 0.259 0.126
Y6 0.477 0.912 0.004
Y7 0.523 0.088 0.504
Y8 0.651 0.741 0.626
Y9 0.732 0.268 0.112
Y10 0.741 0.651 0.126
Y11 0.912 0.477 0.504
Y12 0.985 0.015 0.000
Sn1 0.056 0.282 0.284
Sn2 0.282 0.056 0.784
Sn3 0.426 0.574 0.909
Sn4 0.574 0.426 0.409
Sn5 0.718 0.944 0.284
Sn6 0.944 0.718 0.784
Bi1 0.170 0.830 0.241
Bi2 0.830 0.170 0.741

Computed E_tot, in the same sequence as the records: -60.06; -54.82; -120.14 eV/cell.
Computed V, in the same sequence as the records: 33.407; 30.021; 31.545 Å³ per atom.